Entry 1:
Compound: Hf3Fe
Source: OQMD via LeMat-Bulk
Functional: PBE-GGA
Structure: optimized geometry

Lattice parameters (Å, degrees): 6.112 6.112 4.730 90.00 90.00 120.00
Element x y z (fractional)
1 Fe 0.667 0.333 0.250
2 Fe 0.333 0.667 0.750
3 Hf 0.175 0.350 0.250
4 Hf 0.650 0.825 0.250
5 Hf 0.175 0.825 0.250
6 Hf 0.825 0.175 0.750
7 Hf 0.350 0.175 0.750
8 Hf 0.825 0.650 0.750

Values from the calculation:
- magnetization (μB per formula unit) = 1.8
- energy of formation from the pure elements (eV/atom) = 0.178
- electronic total energy (eV for the cell shown) = -74.9

Entry 2:
Compound: HfFe
Source: OQMD via LeMat-Bulk
Functional: PBE-GGA
Structure: optimized geometry

Lattice parameters (Å, degrees): 3.933 3.933 3.933 60.00 60.00 60.00
Element x y z (fractional)
1 Fe 0.000 0.000 0.000
2 Hf 0.250 0.250 0.250

Values from the calculation:
- magnetization (μB per formula unit) = 0.2
- energy of formation from the pure elements (eV/atom) = 1.458
- electronic total energy (eV for the cell shown) = -15.3

Entry 3:
Compound: Hf2FeHg
Source: OQMD via LeMat-Bulk
Functional: PBE-GGA
Structure: optimized geometry

Lattice parameters (Å, degrees): 4.651 4.651 4.651 60.00 60.00 60.00
Element x y z (fractional)
1 Fe 0.750 0.750 0.750
2 Hf 0.000 0.000 0.000
3 Hf 0.250 0.250 0.250
4 Hg 0.500 0.500 0.500

Values from the calculation:
- magnetization (μB per formula unit) = 0.0
- energy of formation from the pure elements (eV/atom) = 0.246
- electronic total energy (eV for the cell shown) = -27.5

Q: Number 2 is which compound?
A: HfFe

Q: Which of these has the highest electronic total energy?
A: HfFe

Repeat the third record exactly.
Compound: Hf2FeHg
Source: OQMD via LeMat-Bulk
Functional: PBE-GGA
Structure: optimized geometry

Lattice parameters (Å, degrees): 4.651 4.651 4.651 60.00 60.00 60.00
Element x y z (fractional)
1 Fe 0.750 0.750 0.750
2 Hf 0.000 0.000 0.000
3 Hf 0.250 0.250 0.250
4 Hg 0.500 0.500 0.500

Values from the calculation:
- magnetization (μB per formula unit) = 0.0
- energy of formation from the pure elements (eV/atom) = 0.246
- electronic total energy (eV for the cell shown) = -27.5